Entry 1:
Computed, not measured: Mg2TiSi after structural relaxation at the PBE level of DFT.

Output
As for the density of states at the Fermi level: 2.0 states/eV/f.u. As for the energy relative to the elements, uncorrected: 0.271 eV per atom. The spin magnetization is 0.0 μB per cell.

a b c (Å): 7.7948 7.7948 6.1091
angles (deg): 50.36 50.36 90.00
Closest atoms and distances in Å follow each position.
Sites, in units of the cell vectors:
Ti (0.0000, 0.0000, 0.0000)  2 Si 2.63
Mg (0.8750, 0.8314, 0.7500)  2 Si 2.61, 2 Mg 2.72
Si (0.5000, 0.5000, 0.0000)  4 Mg 2.61, 2 Ti 2.63
Mg (0.1686, 0.6250, 0.2500)  2 Si 2.61, 2 Mg 2.72
Ti (0.7500, 0.2500, 0.5000)  2 Si 2.63
Mg (0.5814, 0.1250, 0.2500)  2 Si 2.61, 2 Mg 2.72
Mg (0.3750, 0.4186, 0.7500)  2 Si 2.61, 2 Mg 2.72
Si (0.2500, 0.7500, 0.5000)  4 Mg 2.61, 2 Ti 2.63


Entry 2:
Computed, not measured: Mg14TiSi after structural relaxation at the PBE level of DFT.

Output
The polymorph energy (0 for the lowest one) comes out at 0.000 eV per formula unit. As for the density of states at the Fermi level: 7.8 states/eV/f.u. As for the energy relative to the elements, uncorrected: 0.042 eV per atom. The spin magnetization is 0.0 μB per cell.

a b c (Å): 6.2851 6.2851 10.1924
angles (deg): 90.00 90.00 121.65
Closest atoms and distances in Å follow each position.
Sites, in units of the cell vectors:
Mg (0.3347, 0.1696, 0.5000)  8 Mg 3.04-3.10, 2 Ti 3.10-3.18, 2 Si 3.13-3.15
Mg (0.8322, 0.6693, 0.0000)  12 Mg 3.05-3.22
Mg (0.3321, 0.6679, 0.0000)  12 Mg 3.06-3.21
Mg (0.6711, 0.3289, 0.7477)  1 Ti 3.06, 11 Mg 3.06-3.20
Mg (0.1641, 0.3323, 0.2606)  1 Ti 3.03, 1 Si 3.03, 10 Mg 3.04-3.22
Mg (0.1641, 0.3323, 0.7394)  1 Ti 3.03, 1 Si 3.03, 10 Mg 3.04-3.22
Mg (0.1703, 0.8297, 0.2576)  1 Si 3.04, 11 Mg 3.06-3.19
Mg (0.1703, 0.8297, 0.7424)  1 Si 3.04, 11 Mg 3.06-3.19
Mg (0.6711, 0.3289, 0.2523)  1 Ti 3.06, 11 Mg 3.06-3.20
Mg (0.6677, 0.8359, 0.2606)  1 Ti 3.03, 1 Si 3.03, 10 Mg 3.04-3.22
Si (0.3311, 0.6689, 0.5000)  10 Mg 3.03-3.15, 2 Ti 3.06
Mg (0.6677, 0.8359, 0.7394)  1 Ti 3.03, 1 Si 3.03, 10 Mg 3.04-3.22
Mg (0.8331, 0.1669, 0.0000)  12 Mg 3.06-3.19
Ti (0.8293, 0.1707, 0.5000)  10 Mg 3.03-3.18, 2 Si 3.06
Mg (0.3307, 0.1678, 0.0000)  12 Mg 3.05-3.22
Mg (0.8304, 0.6653, 0.5000)  8 Mg 3.04-3.10, 2 Ti 3.10-3.18, 2 Si 3.13-3.15


Entry 3:
Computed, not measured: Mg6TiSi after structural relaxation at the PBE level of DFT.

Output
The polymorph energy (0 for the lowest one) comes out at 0.045 eV per formula unit. As for the density of states at the Fermi level: 4.9 states/eV/f.u. As for the energy relative to the elements, uncorrected: 0.076 eV per atom. The spin magnetization is 0.6 μB per cell.

a b c (Å): 6.2355 6.2355 4.9358
angles (deg): 90.00 90.00 123.60
Closest atoms and distances in Å follow each position.
Sites, in units of the cell vectors:
Mg (0.1650, 0.3265, 0.0000)  8 Mg 2.90-3.19, 2 Ti 3.04, 2 Si 3.04
Mg (0.6719, 0.3281, 0.0000)  10 Mg 2.95-3.15, 2 Ti 2.99
Ti (0.8252, 0.1748, 0.5000)  2 Si 2.95, 10 Mg 2.99-3.14
Mg (0.3280, 0.1731, 0.5000)  8 Mg 2.94-3.08, 2 Si 3.07-3.16, 2 Ti 3.09-3.14
Mg (0.1776, 0.8224, 0.0000)  10 Mg 2.95-3.19, 2 Si 2.99
Si (0.3318, 0.6682, 0.5000)  2 Ti 2.95, 10 Mg 2.99-3.16
Mg (0.8269, 0.6720, 0.5000)  8 Mg 2.94-3.08, 2 Si 3.07-3.16, 2 Ti 3.09-3.14
Mg (0.6735, 0.8350, 0.0000)  8 Mg 2.90-3.19, 2 Ti 3.04, 2 Si 3.04


Entry 4:
Computed, not measured: Mg6TiSi after structural relaxation at the PBE level of DFT.

Output
The polymorph energy (0 for the lowest one) comes out at 0.000 eV per formula unit. As for the density of states at the Fermi level: 6.0 states/eV/f.u. As for the energy relative to the elements, uncorrected: 0.071 eV per atom. The spin magnetization is 0.7 μB per cell.

a b c (Å): 6.2000 6.2000 4.8243
angles (deg): 90.00 90.00 119.49
Closest atoms and distances in Å follow each position.
Sites, in units of the cell vectors:
Mg (0.6673, 0.3327, 0.0000)  10 Mg 2.99-3.12, 2 Ti 3.13
Mg (0.6661, 0.8293, 0.0000)  2 Ti 2.99-3.21, 8 Mg 3.00-3.15, 2 Si 3.08
Mg (0.3316, 0.1610, 0.5000)  1 Si 2.88, 8 Mg 3.00-3.17, 2 Ti 3.03
Mg (0.8390, 0.6684, 0.5000)  1 Si 2.88, 8 Mg 3.00-3.17, 2 Ti 3.03
Ti (0.1796, 0.8204, 0.0000)  2 Si 2.80, 8 Mg 2.99-3.13
Mg (0.8327, 0.1673, 0.5000)  10 Mg 2.99-3.11, 2 Si 3.13
Si (0.3131, 0.6869, 0.5000)  2 Ti 2.80, 8 Mg 2.88-3.13
Mg (0.1707, 0.3339, 0.0000)  2 Ti 2.99-3.21, 8 Mg 3.00-3.15, 2 Si 3.08


Entry 5:
Computed, not measured: MgTiSi after structural relaxation at the PBE level of DFT.

Output
As for the density of states at the Fermi level: 1.8 states/eV/f.u. As for the energy relative to the elements, uncorrected: -0.323 eV per atom. The spin magnetization is 0.0 μB per cell.

a b c (Å): 4.0422 4.0422 6.7301
angles (deg): 90.00 90.00 90.00
Closest atoms and distances in Å follow each position.
Sites, in units of the cell vectors:
Ti (0.5000, 0.5000, 0.5000)  4 Si 2.61, 4 Ti 2.86
Ti (0.0000, 0.0000, 0.5000)  4 Si 2.61, 4 Ti 2.86
Mg (0.5000, 0.0000, 0.1569)  5 Si 2.77-2.93, 4 Ti 3.07
Mg (0.0000, 0.5000, 0.8431)  5 Si 2.77-2.93, 4 Ti 3.07
Si (0.0000, 0.5000, 0.2547)  4 Ti 2.61, 1 Mg 2.77
Si (0.5000, 0.0000, 0.7453)  4 Ti 2.61, 1 Mg 2.77


Entry 6:
Computed, not measured: MgTiSi2 after structural relaxation at the PBE level of DFT.

Output
As for the density of states at the Fermi level: 1.1 states/eV/f.u. As for the energy relative to the elements, uncorrected: 0.187 eV per atom. The spin magnetization is 0.0 μB per cell.

a b c (Å): 7.0788 7.0788 5.7363
angles (deg): 51.90 51.90 90.00
Closest atoms and distances in Å follow each position.
Sites, in units of the cell vectors:
Si (0.8750, 0.8818, 0.7500)  2 Ti 2.57, 2 Mg 2.63, 2 Si 2.80
Si (0.6318, 0.1250, 0.2500)  2 Ti 2.57, 2 Mg 2.63, 2 Si 2.80
Si (0.3750, 0.3682, 0.7500)  2 Ti 2.57, 2 Mg 2.63, 2 Si 2.80
Ti (0.0000, 0.0000, 0.0000)  4 Si 2.57, 2 Mg 2.80
Mg (0.5000, 0.5000, 0.0000)  4 Si 2.63, 2 Ti 2.80
Mg (0.2500, 0.7500, 0.5000)  4 Si 2.63, 2 Ti 2.80
Si (0.1182, 0.6250, 0.2500)  2 Ti 2.57, 2 Mg 2.63, 2 Si 2.80
Ti (0.7500, 0.2500, 0.5000)  4 Si 2.57, 2 Mg 2.80


Entry 7:
Computed, not measured: Mg2TiTlSi after structural relaxation at the PBE level of DFT.

Output
As for the density of states at the Fermi level: 4.7 states/eV/f.u. As for the energy relative to the elements, uncorrected: 0.211 eV per atom. The spin magnetization is 0.0 μB per cell.

a b c (Å): 4.9198 4.8497 4.9198
angles (deg): 90.00 90.00 90.00
Closest atoms and distances in Å follow each position.
Sites, in units of the cell vectors:
Mg (0.0000, 0.0000, 0.5000)  2 Si 2.46
Mg (0.5000, 0.0000, 0.0000)  2 Si 2.46
Ti (0.0000, 0.5000, 0.0000)  2 Si 2.42
Si (0.0000, 0.0000, 0.0000)  2 Ti 2.42, 4 Mg 2.46
Tl (0.5000, 0.5000, 0.5000)  8 Mg 3.45, 4 Ti 3.48


Entry 8:
Computed, not measured: MgTl2Si after structural relaxation at the PBE level of DFT.

Output
As for the density of states at the Fermi level: 1.8 states/eV/f.u. As for the energy relative to the elements, uncorrected: 0.177 eV per atom. The spin magnetization is 0.0 μB per cell.

a b c (Å): 7.7308 7.7308 7.7308
angles (deg): 154.60 147.38 41.79
Closest atoms and distances in Å follow each position.
Sites, in units of the cell vectors:
Tl (0.4296, 0.4296, 0.0000)  2 Si 3.10, 2 Mg 3.38, 6 Tl 3.40-3.43
Mg (0.7500, 0.2500, 0.5000)  4 Si 2.76
Si (0.2500, 0.7500, 0.5000)  4 Mg 2.76
Tl (0.0704, 0.0704, 0.0000)  2 Si 3.10, 2 Mg 3.38, 6 Tl 3.40-3.43


Entry 9:
Computed, not measured: Mg2TlSi after structural relaxation at the PBE level of DFT.

Output
As for the density of states at the Fermi level: 1.7 states/eV/f.u. As for the energy relative to the elements, uncorrected: 0.097 eV per atom. The spin magnetization is 0.0 μB per cell.

a b c (Å): 4.4690 4.4690 6.7208
angles (deg): 79.22 79.22 44.04
Closest atoms and distances in Å follow each position.
Sites, in units of the cell vectors:
Si (0.2500, 0.2500, 0.2500)  6 Mg 2.76
Tl (0.7500, 0.7500, 0.7500)  6 Mg 3.09-3.10, 2 Tl 3.35
Mg (0.9923, 0.9923, 0.0452)  3 Si 2.76
Mg (0.5077, 0.5077, 0.4548)  3 Si 2.76


Entry 10:
Computed, not measured: MgTl2Si after structural relaxation at the PBE level of DFT.

Output
As for the density of states at the Fermi level: 1.5 states/eV/f.u. As for the energy relative to the elements, uncorrected: 0.161 eV per atom. The spin magnetization is 0.0 μB per cell.

a b c (Å): 3.3259 3.3259 8.9296
angles (deg): 90.00 90.00 90.00
Closest atoms and distances in Å follow each position.
Sites, in units of the cell vectors:
Mg (0.0000, 0.0000, 0.5407)  4 Si 2.82
Si (0.5000, 0.5000, 0.7148)  4 Mg 2.82
Tl (0.5000, 0.5000, 0.2799)  4 Mg 3.31, 8 Tl 3.33-3.67
Tl (0.0000, 0.0000, 0.9645)  4 Si 3.24, 4 Tl 3.33


Entry 11:
Computed, not measured: MgTl2Si after structural relaxation at the PBE level of DFT.

Output
As for the density of states at the Fermi level: 1.7 states/eV/f.u. As for the energy relative to the elements, uncorrected: 0.179 eV per atom. The spin magnetization is 0.0 μB per cell.

a b c (Å): 4.0415 3.3794 7.5856
angles (deg): 80.61 90.00 90.00
Closest atoms and distances in Å follow each position.
Sites, in units of the cell vectors:
Tl (0.0000, 0.8323, 0.9725)  2 Si 2.99
Mg (0.0000, 0.5217, 0.5705)  4 Si 2.75-2.76
Tl (0.5000, 0.1675, 0.2785)  1 Si 3.00
Si (0.5000, 0.9784, 0.6785)  4 Mg 2.75-2.76, 3 Tl 2.99-3.00


Entry 12:
Computed, not measured: MgTl2Si after structural relaxation at the PBE level of DFT.

Output
As for the density of states at the Fermi level: 2.1 states/eV/f.u. As for the energy relative to the elements, uncorrected: 0.306 eV per atom. The spin magnetization is 0.0 μB per cell.

a b c (Å): 3.7298 3.7298 6.9664
angles (deg): 90.00 90.00 90.00
Closest atoms and distances in Å follow each position.
Sites, in units of the cell vectors:
Si (0.5000, 0.5000, 0.7500)  8 Tl 3.11
Mg (0.5000, 0.5000, 0.2500)  8 Tl 3.22, 2 Si 3.48
Tl (0.0000, 0.0000, 0.9857)  4 Si 3.11, 4 Mg 3.22, 1 Tl 3.28
Tl (0.0000, 0.0000, 0.5143)  4 Si 3.11, 4 Mg 3.22, 1 Tl 3.28


Entry 13:
Computed, not measured: MgTlSi4 after structural relaxation at the PBE level of DFT.

Output
As for the density of states at the Fermi level: 2.3 states/eV/f.u. As for the energy relative to the elements, uncorrected: 0.386 eV per atom. The spin magnetization is 0.0 μB per cell.

a b c (Å): 5.3722 5.3722 5.3722
angles (deg): 60.00 60.00 60.00
Closest atoms and distances in Å follow each position.
Sites, in units of the cell vectors:
Tl (0.7500, 0.7500, 0.7500)  12 Si 3.16, 4 Mg 3.29
Mg (0.0000, 0.0000, 0.0000)  12 Si 3.14, 4 Tl 3.29
Si (0.3717, 0.8848, 0.3717)  6 Si 2.62-2.76
Si (0.3717, 0.3717, 0.3717)  6 Si 2.62-2.76
Si (0.8848, 0.3717, 0.3717)  6 Si 2.62-2.76
Si (0.3717, 0.3717, 0.8848)  6 Si 2.62-2.76


Entry 14:
Computed, not measured: MgTl2Si after structural relaxation at the PBE level of DFT.

Output
As for the density of states at the Fermi level: 2.2 states/eV/f.u. As for the energy relative to the elements, uncorrected: 0.307 eV per atom. The spin magnetization is 0.0 μB per cell.

a b c (Å): 5.2399 3.4293 5.5070
angles (deg): 85.47 90.00 90.00
Closest atoms and distances in Å follow each position.
Sites, in units of the cell vectors:
Mg (0.5000, 0.2500, 0.2500)  4 Si 3.13-3.36, 4 Tl 3.14, 2 Mg 3.43
Tl (0.0000, 0.9857, 0.9932)  2 Si 3.08, 5 Tl 3.11-3.43, 2 Mg 3.14
Si (0.5000, 0.7500, 0.7500)  4 Tl 3.08, 4 Mg 3.13-3.36, 2 Si 3.43
Tl (0.0000, 0.5143, 0.5068)  2 Si 3.08, 5 Tl 3.11-3.43, 2 Mg 3.14


Entry 15:
Computed, not measured: Mg2TlSi after structural relaxation at the PBE level of DFT.

Output
As for the density of states at the Fermi level: 1.6 states/eV/f.u. As for the energy relative to the elements, uncorrected: 0.198 eV per atom. The spin magnetization is 0.0 μB per cell.

a b c (Å): 3.2942 3.2942 8.3837
angles (deg): 90.00 90.00 90.56
Closest atoms and distances in Å follow each position.
Sites, in units of the cell vectors:
Si (0.0000, 0.0000, 0.4709)  4 Mg 2.82-2.84
Mg (0.5000, 0.5000, 0.2789)  4 Si 2.82-2.84
Mg (0.0000, 0.0000, 0.0174)  8 Mg 3.19-3.29, 4 Tl 3.33-3.34
Tl (0.5000, 0.5000, 0.7329)  4 Si 3.19-3.21, 4 Tl 3.29, 4 Mg 3.33-3.34


Entry 16:
Computed, not measured: MgTl2Si after structural relaxation at the PBE level of DFT.

Output
As for the density of states at the Fermi level: 1.1 states/eV/f.u. As for the energy relative to the elements, uncorrected: 0.302 eV per atom. The spin magnetization is 0.0 μB per cell.

a b c (Å): 8.9249 8.9249 8.9249
angles (deg): 23.36 23.36 23.36
Closest atoms and distances in Å follow each position.
Sites, in units of the cell vectors:
Tl (0.4951, 0.4951, 0.4951)  3 Si 2.92, 3 Mg 3.10
Mg (0.2500, 0.2500, 0.2500)  6 Tl 3.10
Tl (0.0049, 0.0049, 0.0049)  3 Si 2.92, 3 Mg 3.10
Si (0.7500, 0.7500, 0.7500)  6 Tl 2.92


Entry 17:
Computed, not measured: Mg2TlSi after structural relaxation at the PBE level of DFT.

Output
As for the density of states at the Fermi level: 1.1 states/eV/f.u. As for the energy relative to the elements, uncorrected: 0.079 eV per atom. The spin magnetization is 0.0 μB per cell.

a b c (Å): 6.7736 6.7736 4.6911
angles (deg): 69.74 69.74 26.88
Closest atoms and distances in Å follow each position.
Sites, in units of the cell vectors:
Mg (0.7997, 0.7997, 0.6970)  2 Si 2.78, 4 Tl 3.06
Tl (0.2038, 0.2038, 0.2928)  6 Mg 3.06-3.36, 2 Si 3.11, 2 Tl 3.15
Si (0.4857, 0.4857, 0.5182)  6 Mg 2.78-2.85
Mg (0.0109, 0.0109, 0.9920)  4 Si 2.84-2.85, 2 Mg 3.15


Entry 18:
Computed, not measured: Mg2TlSi after structural relaxation at the PBE level of DFT.

Output
As for the density of states at the Fermi level: 1.8 states/eV/f.u. As for the energy relative to the elements, uncorrected: 0.253 eV per atom. The spin magnetization is 0.0 μB per cell.

a b c (Å): 4.5345 4.5345 9.8108
angles (deg): 76.64 76.64 90.00
Closest atoms and distances in Å follow each position.
Sites, in units of the cell vectors:
Si (0.5000, 0.5000, 0.0000)  4 Mg 2.79
Mg (0.1438, 0.6250, 0.2500)  2 Si 2.79, 2 Tl 2.85, 2 Mg 3.09
Si (0.2500, 0.7500, 0.5000)  4 Mg 2.79
Mg (0.3750, 0.3938, 0.7500)  2 Si 2.79, 2 Tl 2.85, 2 Mg 3.09
Mg (0.6062, 0.1250, 0.2500)  2 Si 2.79, 2 Tl 2.85, 2 Mg 3.09
Mg (0.8750, 0.8562, 0.7500)  2 Si 2.79, 2 Tl 2.85, 2 Mg 3.09
Tl (0.7500, 0.2500, 0.5000)  4 Mg 2.85
Tl (0.0000, 0.0000, 0.0000)  4 Mg 2.85


Entry 19:
Computed, not measured: MgTl2Si after structural relaxation at the PBE level of DFT.

Output
As for the density of states at the Fermi level: 1.5 states/eV/f.u. As for the energy relative to the elements, uncorrected: 0.282 eV per atom. The spin magnetization is 0.0 μB per cell.

a b c (Å): 5.6540 5.6540 5.6540
angles (deg): 132.29 132.29 69.77
Closest atoms and distances in Å follow each position.
Sites, in units of the cell vectors:
Si (0.7500, 0.2500, 0.5000)  4 Mg 3.23, 8 Tl 3.26
Tl (0.5000, 0.5000, 0.0000)  4 Tl 3.23, 4 Mg 3.26, 4 Si 3.26
Mg (0.2500, 0.7500, 0.5000)  4 Si 3.23, 8 Tl 3.26
Tl (0.0000, 0.0000, 0.0000)  4 Tl 3.23, 4 Mg 3.26, 4 Si 3.26


Entry 20:
Computed, not measured: MgTl2Si after structural relaxation at the PBE level of DFT.

Output
As for the density of states at the Fermi level: 0.3 states/eV/f.u. As for the energy relative to the elements, uncorrected: 0.310 eV per atom. The spin magnetization is 0.0 μB per cell.

a b c (Å): 5.1723 5.1723 5.1723
angles (deg): 60.00 60.00 60.00
Closest atoms and distances in Å follow each position.
Sites, in units of the cell vectors:
Tl (0.2500, 0.2500, 0.2500)  4 Si 3.17, 4 Mg 3.17
Tl (0.7500, 0.7500, 0.7500)  4 Si 3.17, 4 Mg 3.17
Mg (0.0000, 0.0000, 0.0000)  8 Tl 3.17
Si (0.5000, 0.5000, 0.5000)  8 Tl 3.17